(1)
A plane-wave DFT calculation with meta-GGA SCAN was carried out for CaNiOs at its PBEsol-relaxed geometry.

Unit cell a=4.5321 b=4.5321 c=2.6642 alpha=90.00 beta=90.00 gamma=120.00
Positions (direct):
Ca (0.0000, 0.0000, 0.0000)
Ni (0.3333, 0.6667, 0.5000)
Os (0.6667, 0.3333, 0.5000)

Fermi-level density of states in states/eV per cell: 3.06
DFT formation energy in kcal/mol of atoms: 12.9
Crystal system: hexagonal
Magnetic moment in μB/f.u.: 0.00
E above lowest polymorph in meV per atom: 286

=====

(2)
A plane-wave DFT calculation with meta-GGA SCAN was carried out for CaNiOs at its PBEsol-relaxed geometry.

Unit cell a=5.5321 b=5.5321 c=5.5321 alpha=152.25 beta=139.32 gamma=49.96
Positions (direct):
Ca (0.0000, 0.0000, 0.0000)
Ni (0.7166, 0.7166, 0.0000)
Os (0.2902, 0.2902, 0.0000)

Fermi-level density of states in states/eV per cell: 2.41
DFT formation energy in kcal/mol of atoms: 6.4
Crystal system: orthorhombic
Magnetic moment in μB/f.u.: 0.00
E above lowest polymorph in meV per atom: 0

=====

(3)
A plane-wave DFT calculation with meta-GGA SCAN was carried out for Ca3NiOs at its PBEsol-relaxed geometry.

Unit cell a=5.2975 b=5.2975 c=5.2975 alpha=90.00 beta=90.00 gamma=90.00
Positions (direct):
Ca (0.0000, 0.0000, 0.5000)
Ca (0.0000, 0.5000, 0.0000)
Ca (0.5000, 0.0000, 0.0000)
Ni (0.5000, 0.5000, 0.5000)
Os (0.0000, 0.0000, 0.0000)

Fermi-level density of states in states/eV per cell: 10.54
DFT formation energy in kcal/mol of atoms: 19.3
Crystal system: cubic
Magnetic moment in μB/f.u.: 0.22

=====

(4)
A plane-wave DFT calculation with meta-GGA SCAN was carried out for CaNi3Os at its PBEsol-relaxed geometry.

Unit cell a=4.5107 b=4.5107 c=4.5107 alpha=90.00 beta=90.00 gamma=90.00
Positions (direct):
Ca (0.0000, 0.0000, 0.0000)
Ni (0.0000, 0.5000, 0.5000)
Ni (0.5000, 0.0000, 0.5000)
Ni (0.5000, 0.5000, 0.0000)
Os (0.5000, 0.5000, 0.5000)

Fermi-level density of states in states/eV per cell: 3.77
DFT formation energy in kcal/mol of atoms: 15.4
Crystal system: cubic
Magnetic moment in μB/f.u.: 0.00

=====

(5)
A plane-wave DFT calculation with meta-GGA SCAN was carried out for Ca2NiOsPt at its PBEsol-relaxed geometry.

Unit cell a=4.9941 b=4.9941 c=4.3432 alpha=90.00 beta=90.00 gamma=90.00
Positions (direct):
Ca (0.0000, 0.5000, 0.0000)
Ca (0.5000, 0.0000, 0.0000)
Ni (0.0000, 0.0000, 0.0000)
Os (0.0000, 0.0000, 0.5000)
Pt (0.5000, 0.5000, 0.5000)

Fermi-level density of states in states/eV per cell: 2.60
DFT formation energy in kcal/mol of atoms: 11.5
Crystal system: tetragonal
Magnetic moment in μB/f.u.: 0.00

=====

(6)
A plane-wave DFT calculation with meta-GGA SCAN was carried out for Ca2NiP at its PBEsol-relaxed geometry.

Unit cell a=3.3119 b=4.6586 c=5.6826 alpha=90.00 beta=90.00 gamma=90.00
Positions (direct):
Ca (0.0000, 0.0000, 0.0000)
Ca (0.5000, 0.5000, 0.4700)
Ni (0.0000, 0.0000, 0.5027)
P (0.5000, 0.5000, 0.9685)

Fermi-level density of states in states/eV per cell: 1.27
DFT formation energy in kcal/mol of atoms: -5.4
Crystal system: orthorhombic
Magnetic moment in μB/f.u.: 0.00

=====

(7)
A plane-wave DFT calculation with meta-GGA SCAN was carried out for CaNiP2 at its PBEsol-relaxed geometry.

Unit cell a=4.0271 b=4.0271 c=3.7502 alpha=90.00 beta=90.00 gamma=90.00
Positions (direct):
Ca (0.0000, 0.0000, 0.0000)
Ni (0.5000, 0.5000, 0.0000)
P (0.0000, 0.5000, 0.5000)
P (0.5000, 0.0000, 0.5000)

Fermi-level density of states in states/eV per cell: 2.61
DFT formation energy in kcal/mol of atoms: -2.2
Crystal system: tetragonal
Magnetic moment in μB/f.u.: 0.00

=====

(8)
A plane-wave DFT calculation with meta-GGA SCAN was carried out for CaNi2P at its PBEsol-relaxed geometry.

Unit cell a=4.3098 b=4.3098 c=4.3098 alpha=60.00 beta=60.00 gamma=60.00
Positions (direct):
Ca (0.0000, 0.0000, 0.0000)
Ni (0.2500, 0.2500, 0.2500)
Ni (0.5000, 0.5000, 0.5000)
P (0.7500, 0.7500, 0.7500)

Fermi-level density of states in states/eV per cell: 3.71
DFT formation energy in kcal/mol of atoms: 1.9
Crystal system: cubic
Magnetic moment in μB/f.u.: 0.74

=====

- What is the Fermi-level density of states in the fifth record?
  2.60 states/eV per cell

=====

- Which value of Fermi-level density of states does entry 1 give?
  3.06 states/eV per cell

=====

Repeat the second record exactly.
A plane-wave DFT calculation with meta-GGA SCAN was carried out for CaNiOs at its PBEsol-relaxed geometry.

Unit cell a=5.5321 b=5.5321 c=5.5321 alpha=152.25 beta=139.32 gamma=49.96
Positions (direct):
Ca (0.0000, 0.0000, 0.0000)
Ni (0.7166, 0.7166, 0.0000)
Os (0.2902, 0.2902, 0.0000)

Fermi-level density of states in states/eV per cell: 2.41
DFT formation energy in kcal/mol of atoms: 6.4
Crystal system: orthorhombic
Magnetic moment in μB/f.u.: 0.00
E above lowest polymorph in meV per atom: 0